Mn2Be3Tl2F12: relaxed, GGA+U.

Values from the calculation:
Its magnetization is 40.00 Bohr magnetons per cell. The density is 4.6 Mg/m³. The value obtained for the total DFT energy (no corrections) is -5.619 eV per atom.

Cell lengths 10.405, 10.405, 10.405 Å; angles 90.00, 90.00, 90.00 degrees
Last column: magnetic moment on the atom in μB.
Fractional coordinates of all 76 atoms:
Mn1 0.597 0.597 0.597  4.72
Mn2 0.903 0.403 0.097  4.72
Mn3 0.667 0.833 0.167  4.69
Mn4 0.097 0.903 0.403  4.72
Mn5 0.833 0.167 0.667  4.69
Mn6 0.167 0.667 0.833  4.69
Mn7 0.333 0.333 0.333  4.69
Mn8 0.403 0.097 0.903  4.72
F1 0.501 0.434 0.270  0.02
F2 0.676 0.514 0.426  0.02
F3 0.727 0.454 0.192  0.02
F4 0.986 0.574 0.176  0.02
F5 0.926 0.824 0.486  0.02
F6 0.546 0.692 0.773  0.02
F7 0.773 0.546 0.692  0.02
F8 0.954 0.308 0.273  0.02
F9 0.046 0.808 0.227  0.02
F10 0.566 0.770 0.999  0.02
F11 0.486 0.926 0.824  0.02
F12 0.176 0.986 0.574  0.02
F13 0.308 0.273 0.954  0.02
F14 0.074 0.324 0.014  0.02
F15 0.744 0.906 0.342  0.02
F16 0.770 0.999 0.566  0.02
F17 0.824 0.486 0.926  0.02
F18 0.999 0.566 0.770  0.02
F19 0.094 0.842 0.756  0.02
F20 0.192 0.727 0.454  0.02
F21 0.499 0.934 0.230  0.02
F22 0.066 0.730 0.001  0.02
F23 0.244 0.594 0.658  0.02
F24 0.434 0.270 0.501  0.02
F25 0.014 0.074 0.324  0.02
F26 0.906 0.342 0.744  0.02
F27 0.270 0.501 0.434  0.02
F28 0.730 0.001 0.066  0.02
F29 0.574 0.176 0.986  0.02
F30 0.514 0.426 0.676  0.02
F31 0.756 0.094 0.842  0.02
F32 0.658 0.244 0.594  0.02
F33 0.342 0.744 0.906  0.02
F34 0.001 0.066 0.730  0.02
F35 0.692 0.773 0.546  0.02
F36 0.842 0.756 0.094  0.02
F37 0.256 0.406 0.158  0.02
F38 0.454 0.192 0.727  0.02
F39 0.227 0.046 0.808  0.02
F40 0.426 0.676 0.514  0.02
F41 0.808 0.227 0.046  0.02
F42 0.273 0.954 0.308  0.02
F43 0.158 0.256 0.406  0.02
F44 0.934 0.230 0.499  0.02
F45 0.406 0.158 0.256  0.02
F46 0.324 0.014 0.074  0.02
F47 0.230 0.499 0.934  0.02
F48 0.594 0.658 0.244  0.02
Be1 0.517 0.284 0.625  0.01
Be2 0.784 0.875 0.483  0.01
Be3 0.375 0.017 0.216  0.01
Be4 0.983 0.716 0.125  0.01
Be5 0.017 0.216 0.375  0.01
Be6 0.875 0.483 0.784  0.01
Be7 0.625 0.517 0.284  0.01
Be8 0.483 0.784 0.875  0.01
Be9 0.216 0.375 0.017  0.01
Be10 0.284 0.625 0.517  0.01
Be11 0.125 0.983 0.716  0.01
Be12 0.716 0.125 0.983  0.01
Tl1 0.549 0.451 0.951  0.00
Tl2 0.185 0.315 0.685  0.00
Tl3 0.451 0.951 0.549  0.00
Tl4 0.815 0.815 0.815  0.00
Tl5 0.951 0.549 0.451  0.00
Tl6 0.049 0.049 0.049  0.00
Tl7 0.315 0.685 0.185  0.00
Tl8 0.685 0.185 0.315  0.00